1.
CaLa2Nd2Er2 | GGA-PBE | relaxed

## Properties
density = 6.36 g cm⁻³
total magnetization = 0.00 μB per cell
E_tot = -60.17 eV per cell

CIF file:
```
data_CaLa2Nd2Er2
_cell_length_a 11.6098
_cell_length_b 5.2140
_cell_length_c 8.2069
_cell_angle_alpha 90.00
_cell_angle_beta 98.45
_cell_angle_gamma 90.00
_space_group_name_H-M_alt 'C 1 2/m 1'
_space_group_IT_number 12
_space_group_name_Hall '-C 2y'
loop_
_atom_site_label
_atom_site_type_symbol
_atom_site_fract_x
_atom_site_fract_y
_atom_site_fract_z
Ca1 Ca 0.0000 0.0000 0.0000
La1 La 0.1441 0.0000 0.4313
Nd1 Nd 0.2167 0.5000 0.1455
Er1 Er 0.0752 0.5000 0.7069
```

---

2.
LiCoSbI2 | GGA-PBE | relaxed

## Properties
density = 4.86 g cm⁻³
total magnetization = 0.00 μB per cell
formation energy from raw total energies = 3 kJ/mol of atoms
offset from the most stable computed form = 0 meV/atom
E_tot = -16.07 eV per cell

CIF file:
```
data_LiCoSbI2
_cell_length_a 5.6576
_cell_length_b 5.6576
_cell_length_c 4.7078
_cell_angle_alpha 90.00
_cell_angle_beta 90.00
_cell_angle_gamma 90.00
_space_group_name_H-M_alt 'P 4/m m m'
_space_group_IT_number 123
_space_group_name_Hall '-P 4 2'
loop_
_atom_site_label
_atom_site_type_symbol
_atom_site_fract_x
_atom_site_fract_y
_atom_site_fract_z
Li1 Li 0.0000 0.0000 0.0000
Co1 Co 0.5000 0.5000 0.5000
Sb1 Sb 0.5000 0.5000 0.0000
I1 I 0.0000 0.5000 0.5000
```

---

3.
CsBiOs2 | GGA-PBE | relaxed

## Properties
density = 11.57 g cm⁻³
total magnetization = 0.00 μB per cell
E_tot = -75.11 eV per cell

CIF file:
```
data_CsBiOs2
_cell_length_a 8.0590
_cell_length_b 8.0590
_cell_length_c 6.3870
_cell_angle_alpha 90.00
_cell_angle_beta 90.00
_cell_angle_gamma 90.00
_space_group_name_H-M_alt 'I -4 2 d'
_space_group_IT_number 122
_space_group_name_Hall 'I -4 2bw'
loop_
_atom_site_label
_atom_site_type_symbol
_atom_site_fract_x
_atom_site_fract_y
_atom_site_fract_z
Cs1 Cs 0.0000 0.0000 0.0000
Bi1 Bi 0.0000 0.0000 0.5000
Os1 Os 0.1943 0.2500 0.6250
```